! PdRh (PBE-GGA, optimized geometry); values from VASP
! * electronic total energy: -59.50 eV for the cell shown
! * total moment: 0.00 μB/f.u.
&SYSTEM
  ibrav = 0, nat = 12, ntyp = 2
/
ATOMIC_SPECIES
Pd 106.42 Pd.upf
Rh 102.91 Rh.upf
CELL_PARAMETERS angstrom
6.9108 0.0000 0.0000
0.0000 6.9108 0.0000
0.0000 0.0000 6.9108
ATOMIC_POSITIONS angstrom
Pd 0.0000 1.7277 3.4554
Pd 0.0000 5.1831 3.4554
Pd 1.7277 3.4554 0.0000
Pd 3.4554 0.0000 1.7277
Pd 3.4554 0.0000 5.1831
Pd 5.1831 3.4554 0.0000
Rh 0.0000 3.4554 1.7277
Rh 0.0000 3.4554 5.1831
Rh 1.7277 0.0000 3.4554
Rh 3.4554 1.7277 0.0000
Rh 3.4554 5.1831 0.0000
Rh 5.1831 0.0000 3.4554

---

! Pd3Rh (PBE-GGA, optimized geometry); values from VASP
! * electronic total energy: -78.06 eV for the cell shown
! * total moment: 0.00 μB/f.u.
&SYSTEM
  ibrav = 0, nat = 16, ntyp = 2
/
ATOMIC_SPECIES
Pd 106.42 Pd.upf
Rh 102.91 Rh.upf
CELL_PARAMETERS angstrom
-4.3341 4.3341 4.3341
4.3341 -4.3341 4.3341
4.3341 4.3341 -4.3341
ATOMIC_POSITIONS angstrom
Pd 3.0675 1.3043 0.0000
Pd 5.6007 1.3043 0.0000
Pd 4.3341 -1.2666 3.0298
Pd 3.0298 4.3341 -1.2666
Pd 1.3043 0.0000 3.0675
Pd 4.3341 1.2666 3.0298
Pd 0.0000 3.0675 1.3043
Pd 3.0298 4.3341 1.2666
Pd 1.3043 0.0000 5.6007
Pd 0.0000 5.6007 1.3043
Pd -1.2666 3.0298 4.3341
Pd 1.2666 3.0298 4.3341
Rh 2.1670 2.1670 -2.1670
Rh 2.1670 -2.1670 2.1670
Rh -2.1670 2.1670 2.1670
Rh 2.1670 2.1670 2.1670

---

! PdRh2 (PBE-GGA, optimized geometry); values from VASP
! * electronic total energy: -39.38 eV for the cell shown
! * total moment: 0.00 μB/f.u.
&SYSTEM
  ibrav = 0, nat = 6, ntyp = 2
/
ATOMIC_SPECIES
Pd 106.42 Pd.upf
Rh 102.91 Rh.upf
CELL_PARAMETERS angstrom
4.3339 -1.9348 0.0000
4.3339 1.9348 0.0000
-1.7317 0.0000 5.2058
ATOMIC_POSITIONS angstrom
Pd 1.3019 0.0000 0.4312
Pd 5.6340 0.0000 4.7746
Rh 0.4176 0.0000 3.0043
Rh 3.0152 0.0000 3.8644
Rh 3.9208 0.0000 1.3414
Rh 6.5184 0.0000 2.2016

---

! PdRh3 (PBE-GGA, optimized geometry); values from VASP
! * electronic total energy: -26.82 eV for the cell shown
! * total moment: 0.00 μB/f.u.
&SYSTEM
  ibrav = 0, nat = 4, ntyp = 2
/
ATOMIC_SPECIES
Pd 106.42 Pd.upf
Rh 102.91 Rh.upf
CELL_PARAMETERS angstrom
-1.3753 4.4540 2.3675
1.3753 -4.4540 2.3675
1.3753 4.4540 -2.3675
ATOMIC_POSITIONS angstrom
Pd 0.0000 0.0000 0.0000
Rh 1.3753 2.2501 -0.7673
Rh 0.0000 4.4540 0.0046
Rh 0.0000 2.2039 1.6002

---

! PdRh2 (PBE-GGA, optimized geometry); values from VASP
! * electronic total energy: -19.65 eV for the cell shown
! * total moment: 0.00 μB/f.u.
&SYSTEM
  ibrav = 0, nat = 3, ntyp = 2
/
ATOMIC_SPECIES
Pd 106.42 Pd.upf
Rh 102.91 Rh.upf
CELL_PARAMETERS angstrom
1.3702 0.7911 6.7348
-1.3702 0.7911 6.7348
0.0000 -1.5822 6.7348
ATOMIC_POSITIONS angstrom
Pd 0.0000 0.0000 0.0000
Rh 0.0000 0.0000 11.1645
Rh 0.0000 0.0000 15.7448

---

! PdRh (PBE-GGA, optimized geometry); values from VASP
! * electronic total energy: -12.29 eV for the cell shown
! * total moment: 0.87 μB/f.u.
&SYSTEM
  ibrav = 0, nat = 2, ntyp = 2
/
ATOMIC_SPECIES
Pd 106.42 Pd.upf
Rh 102.91 Rh.upf
CELL_PARAMETERS angstrom
2.7508 0.0000 0.0000
-1.3754 2.3822 0.0000
0.0000 0.0000 4.5322
ATOMIC_POSITIONS angstrom
Pd 0.0000 0.0000 0.0000
Rh 0.0000 1.5882 2.2661

---

! Pd3Rh (PBE-GGA, optimized geometry); values from VASP
! * electronic total energy: -22.63 eV for the cell shown
! * total moment: 2.00 μB/f.u.
&SYSTEM
  ibrav = 0, nat = 4, ntyp = 2
/
ATOMIC_SPECIES
Pd 106.42 Pd.upf
Rh 102.91 Rh.upf
CELL_PARAMETERS angstrom
-1.9553 1.9553 3.9555
1.9553 -1.9553 3.9555
1.9553 1.9553 -3.9555
ATOMIC_POSITIONS angstrom
Pd 0.0000 0.0000 0.0000
Pd 1.9553 0.0000 1.9778
Pd 0.0000 1.9553 1.9778
Rh 0.0000 0.0000 3.9555

---

! PdRh (PBE-GGA, optimized geometry); values from VASP
! * electronic total energy: -12.10 eV for the cell shown
! * total moment: 0.00 μB/f.u.
&SYSTEM
  ibrav = 0, nat = 2, ntyp = 2
/
ATOMIC_SPECIES
Pd 106.42 Pd.upf
Rh 102.91 Rh.upf
CELL_PARAMETERS angstrom
2.3600 -1.3641 0.0000
2.3600 1.3641 0.0000
-1.6504 0.0000 4.7577
ATOMIC_POSITIONS angstrom
Pd 0.0000 0.0000 0.0000
Rh 3.1353 0.0000 2.2314